Record 1
A geometry-optimized ZnFe2Se structure, computed with PBE.

Unit cell a=2.737 b=2.737 c=8.649 alpha=90.00 beta=90.00 gamma=105.43
Element x y z (fractional)
Zn: 0.500 0.500 0.803
Fe: 0.000 0.000 0.020
Fe: 0.500 0.500 0.226
Se: 0.000 0.000 0.451

Computed properties:
As for the density of states at the Fermi level: 2.4 states/eV/f.u. As for the formation energy from raw total energies: 215 meV per atom. The calculation puts the spin magnetization at 5.33 Bohr magnetons per cell.

***

Record 2
A geometry-optimized ZnFeSe2 structure, computed with PBE.

Unit cell a=2.843 b=2.843 c=8.869 alpha=90.00 beta=90.00 gamma=90.00
Element x y z (fractional)
Zn: 0.000 0.000 0.555
Fe: 0.500 0.500 0.752
Se: 0.500 0.500 0.295
Se: 0.000 0.000 0.898

Computed properties:
As for the density of states at the Fermi level: 1.3 states/eV/f.u. As for the formation energy from raw total energies: 29 meV per atom. The calculation puts the spin magnetization at 0.00 Bohr magnetons per cell.

***

Record 3
A geometry-optimized ZnFeSe2 structure, computed with PBE.

Unit cell a=4.265 b=4.265 c=7.243 alpha=90.00 beta=90.00 gamma=132.06
Element x y z (fractional)
Se: 0.000 0.000 0.989
Se: 0.000 0.000 0.511
Fe: 0.500 0.500 0.750
Zn: 0.500 0.500 0.250

Computed properties:
As for the density of states at the Fermi level: 3.6 states/eV/f.u. As for the formation energy from raw total energies: 97 meV per atom. The calculation puts the spin magnetization at 3.38 Bohr magnetons per cell.